No. 1
8
Lattice="-3.625 3.625 2.627 3.625 -3.625 2.627 3.625 3.625 -2.627" Properties=species:S:1:pos:R:3 comment="Al2GaW, relaxed, DFT PBE-GGA" formation_energy_ev_per_fu=2.15 crystal_system=tetragonal pbc="T T T"
Al 5.438 1.789 -0.657
Al 1.789 1.813 0.657
Al -1.813 1.836 1.970
Al 1.836 1.813 3.284
Ga 0.000 0.000 0.000
Ga 0.000 3.625 1.314
W 3.625 0.000 1.314
W 0.000 0.000 2.627


No. 2
5
Lattice="4.089 0.000 0.000 0.000 4.089 0.000 0.000 0.000 4.089" Properties=species:S:1:pos:R:3 comment="TiS3N, relaxed, DFT PBE-GGA" de_polymorph_mev_per_atom=0 formation_energy_uncorrected_ev_per_atom=0.582 crystal_system=cubic pbc="T T T"
Ti 0.000 0.000 0.000
S 0.000 2.044 2.044
S 2.044 0.000 2.044
S 2.044 2.044 0.000
N 2.044 2.044 2.044


No. 3
20
Lattice="4.420 -6.456 0.000 4.420 6.456 0.000 0.000 0.000 6.913" Properties=species:S:1:pos:R:3 comment="Sb3AsPd6, relaxed, DFT PBE-GGA" formation_energy_uncorrected_ev_per_atom=-0.322 crystal_system=orthorhombic pbc="T T T"
Sb 4.420 5.422 3.456
Sb 2.724 1.253 2.365
Sb 2.724 -1.253 5.822
Sb 6.116 1.253 2.365
Sb 6.116 -1.253 5.822
Sb 4.420 -5.422 0.000
As 4.420 2.607 6.088
As 4.420 -2.607 2.631
Pd 2.918 3.320 4.257
Pd 1.492 0.841 4.693
Pd 1.492 -0.841 1.237
Pd 4.420 3.183 1.539
Pd 5.921 3.320 4.257
Pd 4.420 0.580 4.682
Pd 4.420 -0.580 1.226
Pd 2.918 -3.320 0.801
Pd 4.420 -3.183 4.995
Pd 7.348 0.841 4.693
Pd 7.348 -0.841 1.237
Pd 5.921 -3.320 0.801